The following is a DFT calculation (PBE with a Hubbard U) of a geometry-optimized Ca2Ta2NiO8 structure.

a = 9.967 Å, b = 9.967 Å, c = 5.466 Å
α = 88.43°, β = 88.43°, γ = 36.67°
Fractional positions:
1 O 0.122 0.238 0.494
2 O 0.940 0.198 0.906
3 O 0.238 0.122 0.994
4 O 0.302 0.587 0.586
5 O 0.167 0.465 0.843
6 O 0.878 0.762 0.506
7 O 0.465 0.167 0.343
8 O 0.198 0.940 0.406
9 O 0.535 0.833 0.657
10 O 0.802 0.060 0.594
11 O 0.060 0.802 0.094
12 O 0.587 0.302 0.086
13 O 0.413 0.698 0.914
14 O 0.698 0.413 0.414
15 O 0.833 0.535 0.157
16 O 0.762 0.878 0.006
17 Ca 0.478 0.107 0.743
18 Ca 0.107 0.478 0.243
19 Ca 0.522 0.893 0.257
20 Ca 0.893 0.522 0.757
21 Ta 0.958 0.262 0.242
22 Ta 0.042 0.738 0.758
23 Ta 0.262 0.958 0.742
24 Ta 0.738 0.042 0.258
25 Ni 0.633 0.367 0.750
26 Ni 0.367 0.633 0.250

Summary:
Total DFT energy (no corrections)   -0.2948 Ha/atom
Symmetry   C2/c, No. 15
Size of the total moment   1.94 μB/f.u.